[1]
Here is crystalline CaReIr2 at its relaxed geometry from the Alexandria database. Energies are from PBEsol.

## Properties
excess energy over the best structure of this formula in the dataset = 171 meV per atom
Fermi-level density of states = 4.59 states/eV/f.u.
total magnetization = 0.001 Bohr magnetons per cell
VASP energy = -33.49 eV for the cell shown
ΔH_f (0 K) = 405 meV per atom

Cell lengths 4.147, 4.147, 3.701 Å; angles 90.00, 90.00, 90.00 degrees
Space group P4/mmm (No. 123)
Symmetry-distinct sites (fractional):
Ca: 0.000 0.000 0.000
Re: 0.500 0.500 0.000
Ir: 0.000 0.500 0.500

[2]
Here is crystalline NbHgBi2Pd at its relaxed geometry from the Alexandria database. Energies are from PBEsol.

## Properties
Fermi-level density of states = 4.75 states/eV/f.u.
total magnetization = 0.009 Bohr magnetons per cell
VASP energy = -22.57 eV for the cell shown
ΔH_f (0 K) = 669 meV per atom

Cell lengths 5.425, 5.425, 4.862 Å; angles 90.00, 90.00, 90.00 degrees
Space group P4/mmm (No. 123)
Symmetry-distinct sites (fractional):
Nb: 0.000 0.000 0.000
Hg: 0.500 0.500 0.500
Bi: 0.000 0.500 0.000
Pd: 0.000 0.000 0.500

[3]
Here is crystalline TcRuPt at its relaxed geometry from the Alexandria database. Energies are from PBEsol.

## Properties
excess energy over the best structure of this formula in the dataset = 0 meV per atom
Fermi-level density of states = 3.13 states/eV/f.u.
total magnetization = 0.000 Bohr magnetons per cell
VASP energy = -57.42 eV for the cell shown
ΔH_f (0 K) = -103 meV per atom

Cell lengths 2.706, 2.706, 11.513 Å; angles 90.00, 90.00, 90.00 degrees
Space group I4mm (No. 107)
Symmetry-distinct sites (fractional):
Tc: 0.000 0.000 0.000
Ru: 0.000 0.000 0.350
Pt: 0.000 0.000 0.673

[4]
Here is crystalline CdSi2Se at its relaxed geometry from the Alexandria database. Energies are from PBEsol.

## Properties
excess energy over the best structure of this formula in the dataset = 81 meV per atom
Fermi-level density of states = 1.76 states/eV/f.u.
total magnetization = 0.000 Bohr magnetons per cell
VASP energy = -14.93 eV for the cell shown
raw formation energy = 1.6 eV per formula unit

Cell lengths 3.301, 4.645, 4.768 Å; angles 90.00, 90.00, 90.00 degrees
Space group Pmmm (No. 47)
Symmetry-distinct sites (fractional):
Cd: 0.000 0.000 0.000
Si: 0.000 0.500 0.500
Si: 0.500 0.000 0.500
Se: 0.500 0.500 0.000

[5]
Here is crystalline Na3TeF at its relaxed geometry from the Alexandria database. Energies are from PBEsol.

## Properties
Fermi-level density of states = 0.00 states/eV/f.u.
total magnetization = 0.000 Bohr magnetons per cell
VASP energy = -17.84 eV for the cell shown
raw formation energy = -8.2 eV per formula unit

Cell lengths 4.666, 4.666, 4.666 Å; angles 90.00, 90.00, 90.00 degrees
Space group Pm-3m (No. 221)
Symmetry-distinct sites (fractional):
Na: 0.000 0.000 0.500
Te: 0.500 0.500 0.500
F: 0.000 0.000 0.000

[6]
Here is crystalline Cs4Sn2Au7 at its relaxed geometry from the Alexandria database. Energies are from PBEsol.

## Properties
Fermi-level density of states = 3.15 states/eV/f.u.
total magnetization = 0.000 Bohr magnetons per cell
VASP energy = -131.74 eV for the cell shown
ΔH_f (0 K) = -320 meV per atom

Cell lengths 6.8398, 6.8398, 29.2105 Å; angles 90.00, 90.00, 120.00 degrees
Space group R-3m (No. 166, hexagonal axes)
Symmetry-distinct sites (fractional):
Cs: 0.0000 0.0000 0.1847
Cs: 0.0000 0.0000 0.3133
Sn: 0.0000 0.0000 0.0500
Au: 0.0000 0.0000 0.5000
Au: 0.0631 0.5315 0.2432

[7]
Here is crystalline Sc3TeN at its relaxed geometry from the Alexandria database. Energies are from PBEsol.

## Properties
Fermi-level density of states = 7.67 states/eV/f.u.
total magnetization = 0.190 Bohr magnetons per cell
VASP energy = -26.16 eV for the cell shown
raw formation energy = 5.7 eV per formula unit

Cell lengths 5.186, 5.186, 5.186 Å; angles 90.00, 90.00, 90.00 degrees
Space group Pm-3m (No. 221)
Symmetry-distinct sites (fractional):
Sc: 0.000 0.000 0.500
Te: 0.000 0.000 0.000
N: 0.500 0.500 0.500

[8]
Here is crystalline CsRbP2S at its relaxed geometry from the Alexandria database. Energies are from PBEsol.

## Properties
Fermi-level density of states = 4.17 states/eV/f.u.
total magnetization = 3.428 Bohr magnetons per cell
VASP energy = -12.57 eV for the cell shown
raw formation energy = 5.4 eV per formula unit

Cell lengths 5.771, 5.771, 5.683 Å; angles 90.00, 90.00, 90.00 degrees
Space group P4/mmm (No. 123)
Symmetry-distinct sites (fractional):
Cs: 0.000 0.000 0.000
Rb: 0.500 0.500 0.500
P: 0.000 0.500 0.000
S: 0.000 0.000 0.500

[9]
Here is crystalline Cs3Sb2I9 at its relaxed geometry from the Alexandria database. Energies are from PBEsol.

## Properties
excess energy over the best structure of this formula in the dataset = 5 meV per atom
total magnetization = 0.000 Bohr magnetons per cell
VASP energy = -40.26 eV for the cell shown
raw formation energy = -12.4 eV per formula unit

Cell lengths 8.3481, 8.3481, 10.2916 Å; angles 90.00, 90.00, 120.00 degrees
Space group P-3m1 (No. 164)
Symmetry-distinct sites (fractional):
Cs: 0.0000 0.0000 0.0000
Cs: 0.3333 0.6667 0.6687
Sb: 0.3333 0.6667 0.1881
I: 0.0000 0.5000 0.0000
I: 0.1652 0.3304 0.3393

[10]
Here is crystalline Hf3AlN at its relaxed geometry from the Alexandria database. Energies are from PBEsol.

## Properties
Fermi-level density of states = 2.42 states/eV/f.u.
total magnetization = 0.000 Bohr magnetons per cell
VASP energy = -197.64 eV for the cell shown
raw formation energy = -5.3 eV per formula unit

Cell lengths 3.283, 11.270, 8.814 Å; angles 90.00, 90.00, 90.00 degrees
Space group Cmcm (No. 63)
Symmetry-distinct sites (fractional):
Hf: 0.000 0.042 0.250
Hf: 0.000 0.372 0.041
Al: 0.000 0.252 0.750
N: 0.000 0.000 0.000

[11]
Here is crystalline CaZrPb at its relaxed geometry from the Alexandria database. Energies are from PBEsol.

## Properties
Fermi-level density of states = 1.82 states/eV/f.u.
total magnetization = 0.001 Bohr magnetons per cell
VASP energy = -30.94 eV for the cell shown
ΔH_f (0 K) = -83 meV per atom

Cell lengths 3.270, 3.270, 14.663 Å; angles 90.00, 90.00, 90.00 degrees
Space group I4mm (No. 107)
Symmetry-distinct sites (fractional):
Ca: 0.000 0.000 0.000
Zr: 0.000 0.000 0.685
Pb: 0.000 0.000 0.332

[12]
Here is crystalline LaRe2MoIr at its relaxed geometry from the Alexandria database. Energies are from PBEsol.

## Properties
Fermi-level density of states = 6.45 states/eV/f.u.
total magnetization = 2.749 Bohr magnetons per cell
VASP energy = -44.06 eV for the cell shown
ΔH_f (0 K) = 1907 meV per atom

Cell lengths 4.724, 4.724, 5.203 Å; angles 90.00, 90.00, 90.00 degrees
Space group P4/mmm (No. 123)
Symmetry-distinct sites (fractional):
La: 0.000 0.000 0.000
Re: 0.000 0.500 0.500
Mo: 0.500 0.500 0.000
Ir: 0.000 0.000 0.500

[13]
Here is crystalline RhPbSe2 at its relaxed geometry from the Alexandria database. Energies are from PBEsol.

## Properties
Fermi-level density of states = 2.13 states/eV/f.u.
total magnetization = 0.000 Bohr magnetons per cell
VASP energy = -19.99 eV for the cell shown
raw formation energy = -0.2 eV per formula unit

Cell lengths 3.611, 3.611, 6.411 Å; angles 90.00, 90.00, 90.00 degrees
Space group P4mm (No. 99)
Symmetry-distinct sites (fractional):
Rh: 0.000 0.000 0.000
Pb: 0.500 0.500 0.612
Se: 0.000 0.000 0.387
Se: 0.500 0.500 0.080

[14]
Here is crystalline InCo2As at its relaxed geometry from the Alexandria database. Energies are from PBEsol.

## Properties
Fermi-level density of states = 2.07 states/eV/f.u.
total magnetization = 1.618 Bohr magnetons per cell
VASP energy = -23.00 eV for the cell shown
ΔH_f (0 K) = 140 meV per atom

Cell lengths 4.228, 4.228, 3.065 Å; angles 90.00, 90.00, 90.00 degrees
Space group P4/mmm (No. 123)
Symmetry-distinct sites (fractional):
In: 0.000 0.000 0.000
Co: 0.000 0.500 0.500
As: 0.500 0.500 0.000

[15]
Here is crystalline Li3SbPb at its relaxed geometry from the Alexandria database. Energies are from PBEsol.

## Properties
excess energy over the best structure of this formula in the dataset = 0 meV per atom
Fermi-level density of states = 2.94 states/eV/f.u.
total magnetization = 0.001 Bohr magnetons per cell
VASP energy = -14.83 eV for the cell shown
raw formation energy = -0.4 eV per formula unit

Cell lengths 5.040, 5.040, 5.040 Å; angles 90.00, 90.00, 90.00 degrees
Space group Pm-3m (No. 221)
Symmetry-distinct sites (fractional):
Li: 0.000 0.000 0.500
Sb: 0.000 0.000 0.000
Pb: 0.500 0.500 0.500

[16]
Here is crystalline Cs2MnF4 at its relaxed geometry from the Alexandria database. Energies are from PBEsol.

## Properties
Fermi-level density of states = 0.00 states/eV/f.u.
total magnetization = 10.000 Bohr magnetons per cell
VASP energy = -74.87 eV for the cell shown
raw formation energy = -18.1 eV per formula unit

Cell lengths 4.312, 4.312, 14.474 Å; angles 90.00, 90.00, 90.00 degrees
Space group I4/mmm (No. 139)
Symmetry-distinct sites (fractional):
Cs: 0.000 0.000 0.147
Mn: 0.000 0.000 0.500
F: 0.000 0.000 0.356
F: 0.000 0.500 0.000

[17]
Here is crystalline TaBiP4O14 at its relaxed geometry from the Alexandria database. Energies are from PBEsol.

## Properties
Fermi-level density of states = 0.00 states/eV/f.u.
total magnetization = 0.000 Bohr magnetons per cell
VASP energy = -315.93 eV for the cell shown
raw formation energy = -44.5 eV per formula unit

Cell lengths 8.618, 8.453, 8.473 Å; angles 90.00, 91.02, 90.00 degrees
Space group P2_1/c (No. 14)
Symmetry-distinct sites (fractional):
Ta: 0.000 0.000 0.000
Bi: 0.500 0.000 0.500
P: 0.090 0.116 0.387
P: 0.373 0.589 0.398
O: 0.000 0.000 0.500
O: 0.026 0.219 0.925
O: 0.033 0.071 0.219
O: 0.220 0.540 0.482
O: 0.261 0.104 0.409
O: 0.370 0.521 0.234
O: 0.399 0.736 0.911
O: 0.500 0.000 0.000

[18]
Here is crystalline LiLa2H2 at its relaxed geometry from the Alexandria database. Energies are from PBEsol.

## Properties
Fermi-level density of states = 3.79 states/eV/f.u.
total magnetization = 1.347 Bohr magnetons per cell
VASP energy = -41.46 eV for the cell shown

Cell lengths 4.011, 4.011, 13.076 Å; angles 90.00, 90.00, 90.00 degrees
Space group I4/mmm (No. 139)
Symmetry-distinct sites (fractional):
Li: 0.000 0.000 0.000
La: 0.000 0.000 0.345
H: 0.000 0.500 0.250

[19]
Here is crystalline TlIn2Sb at its relaxed geometry from the Alexandria database. Energies are from PBEsol.

## Properties
excess energy over the best structure of this formula in the dataset = 3 meV per atom
Fermi-level density of states = 1.71 states/eV/f.u.
total magnetization = 0.000 Bohr magnetons per cell
VASP energy = -13.09 eV for the cell shown
raw formation energy = 0.1 eV per formula unit

Cell lengths 3.149, 5.372, 6.388 Å; angles 90.00, 95.45, 90.00 degrees
Space group P2/m (No. 10)
Symmetry-distinct sites (fractional):
Tl: 0.000 0.000 0.000
In: 0.406 0.500 0.748
Sb: 0.500 0.000 0.500

[20]
Here is crystalline BaMg2Fe at its relaxed geometry from the Alexandria database. Energies are from PBEsol.

## Properties
Fermi-level density of states = 5.58 states/eV/f.u.
total magnetization = 2.174 Bohr magnetons per cell
VASP energy = -12.89 eV for the cell shown
ΔH_f (0 K) = 413 meV per atom

Cell lengths 3.526, 3.526, 8.063 Å; angles 90.00, 90.00, 90.00 degrees
Space group P4mm (No. 99)
Symmetry-distinct sites (fractional):
Ba: 0.000 0.000 0.000
Mg: 0.000 0.000 0.584
Mg: 0.500 0.500 0.357
Fe: 0.500 0.500 0.716